[1]
This record from the Open Quantum Materials Database describes a geometry-optimized Lu4ZnC2S structure. The functional is PBE-GGA.

Cell lengths 3.5637, 3.5637, 13.5801 Å; angles 90.00, 90.00, 120.00 degrees
Closest atoms and distances in Å follow each position.
Fractional coordinates of all 8 atoms:
Lu  0.0000  0.0000  0.1364  3 C 2.44
Lu  0.0000  0.0000  0.8636  3 C 2.44
Lu  0.3333  0.6667  0.3270  3 C 2.42
Lu  0.3333  0.6667  0.6730  3 C 2.42
Zn  0.0000  0.0000  0.5000  6 Lu 3.12
C  0.6667  0.3333  0.2327  6 Lu 2.42-2.44
C  0.6667  0.3333  0.7673  6 Lu 2.42-2.44
S  0.3333  0.6667  0.0000  6 Lu 2.77

Output
calculated volume: 149.4 Å³/cell
VASP energy: -48.37 eV/f.u.



[2]
This record from the Open Quantum Materials Database describes a geometry-optimized MgCdTeO structure. The functional is PBE-GGA.

Cell lengths 4.0033, 13.5104, 6.1775 Å; angles 90.00, 90.00, 90.00 degrees
Closest atoms and distances in Å follow each position.
Fractional coordinates of all 16 atoms:
Mg  0.0000  0.0379  0.0000  2 O 1.92-1.93
Mg  0.0000  0.9621  0.5000  2 O 1.92-1.93
Mg  0.5000  0.4621  0.5000  2 O 1.92-1.93
Mg  0.5000  0.5379  0.0000  2 O 1.92-1.93
Cd  0.0000  0.3362  0.1532  2 O 2.37
Cd  0.0000  0.6638  0.6532  2 O 2.37
Cd  0.5000  0.1638  0.6532  2 O 2.37
Cd  0.5000  0.8362  0.1532  2 O 2.37
Te  0.0000  0.3361  0.6801  2 Mg 2.85, 3 Cd 2.92-3.07
Te  0.0000  0.6639  0.1801  2 Mg 2.85, 3 Cd 2.92-3.07
Te  0.5000  0.1639  0.1801  2 Mg 2.85, 3 Cd 2.92-3.07
Te  0.5000  0.8361  0.6801  2 Mg 2.85, 3 Cd 2.92-3.07
O  0.0000  0.0721  0.6972  2 Mg 1.92-1.93
O  0.0000  0.9279  0.1972  2 Mg 1.92-1.93
O  0.5000  0.4279  0.1972  2 Mg 1.92-1.93
O  0.5000  0.5721  0.6972  2 Mg 1.92-1.93

Output
calculated volume: 334.1 Å³/cell
excess energy over the best structure of this formula in the dataset: 163.8 meV/atom
VASP energy: -15.17 eV/f.u.